# 1
VASP calculation (PBE) on SbPbW2 after structural relaxation.

Summary:
mass density: 13.741 Mg/m³
M_tot: 0.00 μB/atom
energy relative to the elements, uncorrected: 3.48 eV per formula unit

abc: 3.3767 4.8263 5.3331
angles: 90.00 104.39 90.00
Closest atoms and distances in Å follow each position.
Space group Pm (No. 6)
Unique sites:
Sb: 0.0000 0.0000 0.0000  4 W 2.70-2.87
Pb: 0.5028 0.5000 0.7288  4 W 2.72-3.03
W: 0.6451 0.0000 0.4183  2 Sb 2.70-2.78, 2 W 2.76
W: 0.9180 0.5000 0.2738  2 Pb 2.72-2.90, 2 W 2.76, 2 Sb 2.87


# 2
VASP calculation (PBE) on Cr2SiRh after structural relaxation.

Summary:
mass density: 7.893 Mg/m³
M_tot: 0.00 μB/atom
energy relative to the elements, uncorrected: -1.10 eV per formula unit

abc: 3.4883 3.4883 8.1252
angles: 90.00 90.00 90.00
Closest atoms and distances in Å follow each position.
Space group I4/mmm (No. 139)
Unique sites:
Cr: 0.0000 0.5000 0.2500  4 Cr 2.47, 4 Rh 2.68, 4 Si 2.68
Si: 0.0000 0.0000 0.0000  4 Rh 2.47, 8 Cr 2.68
Rh: 0.0000 0.0000 0.5000  4 Si 2.47, 8 Cr 2.68


# 3
VASP calculation (PBE) on Sr2Hg2Sb after structural relaxation.

Summary:
mass density: 6.671 Mg/m³
M_tot: 0.00 μB/atom
energy relative to the elements, uncorrected: -2.12 eV per formula unit

abc: 9.0569 9.0569 4.2373
angles: 90.00 90.00 90.00
Closest atoms and distances in Å follow each position.
Space group P4/mbm (No. 127)
Unique sites:
Sr: 0.1788 0.3212 0.0000  6 Hg 3.32-3.49, 2 Sb 3.33
Hg: 0.1218 0.6218 0.5000  1 Hg 3.12, 6 Sr 3.32-3.49
Sb: 0.0000 0.0000 0.0000  4 Sr 3.33


# 4
VASP calculation (PBE) on MgZrHgPt2 after structural relaxation.

Summary:
mass density: 11.210 Mg/m³
M_tot: 0.00 μB/atom
energy of formation: 0.353 eV/atom

abc: 4.6830 4.6830 4.7708
angles: 90.00 90.00 90.00
Closest atoms and distances in Å follow each position.
Space group P4/mmm (No. 123)
Unique sites:
Mg: 0.0000 0.0000 0.0000  4 Pt 2.34, 2 Hg 2.39
Zr: 0.5000 0.5000 0.5000  4 Hg 3.31, 8 Pt 3.34
Hg: 0.0000 0.0000 0.5000  2 Mg 2.39
Pt: 0.0000 0.5000 0.0000  2 Mg 2.34


# 5
VASP calculation (PBE) on AgSb2IrC after structural relaxation.

Summary:
mass density: 8.345 Mg/m³
M_tot: 0.00 μB/atom
energy relative to the elements, uncorrected: 3.25 eV per formula unit

abc: 5.4338 5.4338 3.7446
angles: 90.00 90.00 90.00
Closest atoms and distances in Å follow each position.
Space group P4/mmm (No. 123)
Unique sites:
Ag: 0.0000 0.0000 0.0000  8 Sb 3.30
Sb: 0.0000 0.5000 0.5000  2 Ir 2.72
Ir: 0.5000 0.5000 0.5000  2 C 1.87
C: 0.5000 0.5000 0.0000  2 Ir 1.87


# 6
VASP calculation (PBE) on Sb2MoPb after structural relaxation.

Summary:
mass density: 8.997 Mg/m³
M_tot: 0.00 μB/atom
energy relative to the elements, uncorrected: 0.40 eV per formula unit

abc: 3.3898 3.3898 30.4156
angles: 90.00 90.00 120.00
Closest atoms and distances in Å follow each position.
Space group R-3m (No. 166, hexagonal axes)
Unique sites:
Sb: 0.0000 0.0000 0.2313  3 Mo 2.77
Mo: 0.0000 0.0000 0.5000  6 Sb 2.77
Pb: 0.0000 0.0000 0.0000  6 Pb 3.39, 6 Sb 3.67


# 7
VASP calculation (PBE) on CePaHgAu after structural relaxation.

Summary:
mass density: 12.487 Mg/m³
M_tot: 0.74 μB/atom
energy of formation: -0.131 eV/atom

abc: 7.4222 7.4222 7.4222
angles: 90.00 90.00 90.00
Closest atoms and distances in Å follow each position.
Space group F-43m (No. 216)
Unique sites:
Ce: 0.0000 0.0000 0.0000  4 Hg 3.21, 4 Au 3.21
Pa: 0.0000 0.0000 0.5000  4 Hg 3.21, 4 Au 3.21
Hg: 0.2500 0.2500 0.2500  4 Ce 3.21, 4 Pa 3.21
Au: 0.2500 0.2500 0.7500  4 Ce 3.21, 4 Pa 3.21


# 8
VASP calculation (PBE) on CePm2TmSe5 after structural relaxation.

Summary:
mass density: 5.781 Mg/m³
M_tot: 0.16 μB/atom
energy relative to the elements, uncorrected: -11.59 eV per formula unit

abc: 5.0958 5.0958 10.9944
angles: 90.00 90.00 90.00
Closest atoms and distances in Å follow each position.
Space group P4/mmm (No. 123)
Unique sites:
Ce: 0.0000 0.0000 0.0000  2 Se 2.78
Pm: 0.5000 0.5000 0.3327  4 Se 3.14
Tm: 0.0000 0.0000 0.5000  6 Se 2.55-2.71
Se: 0.0000 0.0000 0.2532  1 Tm 2.71, 1 Ce 2.78
Se: 0.0000 0.5000 0.5000  2 Tm 2.55
Se: 0.5000 0.5000 0.0000  4 Ce 3.60, 2 Pm 3.66


# 9
VASP calculation (PBE) on GaTcNi6 after structural relaxation.

Summary:
mass density: 9.286 Mg/m³
M_tot: 0.09 μB/atom
energy of formation: -0.120 eV/atom

abc: 3.5953 3.5953 7.1919
angles: 90.00 90.00 90.00
Closest atoms and distances in Å follow each position.
Space group P4/mmm (No. 123)
Unique sites:
Ga: 0.0000 0.0000 0.0000  12 Ni 2.54-2.55
Tc: 0.0000 0.0000 0.5000  12 Ni 2.53-2.54
Ni: 0.0000 0.5000 0.2523  8 Ni 2.53-2.55, 2 Tc 2.53, 2 Ga 2.55
Ni: 0.5000 0.5000 0.0000  4 Ga 2.54, 8 Ni 2.55
Ni: 0.5000 0.5000 0.5000  8 Ni 2.53, 4 Tc 2.54


# 10
VASP calculation (PBE) on H3PtRh after structural relaxation.

Summary:
mass density: 11.810 Mg/m³
M_tot: 0.00 μB/atom
VASP energy: -4.42 eV per atom

abc: 3.4850 3.4850 3.4850
angles: 90.00 90.00 90.00
Closest atoms and distances in Å follow each position.
Space group Pm-3m (No. 221)
Unique sites:
H: 0.0000 0.0000 0.5000  2 Pt 1.74
Pt: 0.0000 0.0000 0.0000  6 H 1.74
Rh: 0.5000 0.5000 0.5000  12 H 2.46


# 11
VASP calculation (PBE) on Y2MgAuC after structural relaxation.

Summary:
mass density: 6.585 Mg/m³
M_tot: 0.00 μB/atom
energy of formation: -0.408 eV/atom

abc: 4.9239 4.9239 4.2759
angles: 90.00 90.00 90.00
Closest atoms and distances in Å follow each position.
Space group P4/mmm (No. 123)
Unique sites:
Y: 0.0000 0.5000 0.0000  2 C 2.46
Mg: 0.0000 0.0000 0.5000  2 C 2.14
Au: 0.5000 0.5000 0.5000  8 Y 3.26, 4 Mg 3.48
C: 0.0000 0.0000 0.0000  2 Mg 2.14


# 12
VASP calculation (PBE) on Pm3Nd3Sm2 after structural relaxation.

Summary:
mass density: 6.974 Mg/m³
M_tot: 0.00 μB/atom
energy of formation: 0.079 eV/atom

abc: 16.6036 5.8965 6.1094
angles: 90.00 111.51 90.00
Closest atoms and distances in Å follow each position.
Space group C2/m (No. 12)
Unique sites:
Pm: 0.0000 0.0000 0.0000  2 Pm 3.41, 4 Nd 3.61
Pm: 0.1328 0.0000 0.5788  1 Pm 3.41, 4 Sm 3.48-3.62, 5 Nd 3.61-3.80
Nd: 0.0000 0.5000 0.5000  2 Nd 3.41, 4 Pm 3.61
Nd: 0.1333 0.5000 0.1877  1 Nd 3.41, 4 Sm 3.48-3.62, 5 Pm 3.61-3.80
Sm: 0.2500 0.0000 0.1827  5 Nd 3.48-3.88, 5 Pm 3.48-3.88, 2 Sm 3.70


| no. | calculated volume (Å³ per cell) |
| --- | --- |
| 1 | 84 |
| 2 | 99 |
| 3 | 348 |
| 4 | 105 |
| 5 | 111 |
| 6 | 303 |
| 7 | 409 |
| 8 | 285 |
| 9 | 93 |
| 10 | 42 |
| 11 | 104 |
| 12 | 556 |